[1]
TlCd2Hg: optimized geometry, GGA-PBE.

Computed properties:
Crystal system: tetragonal
Total magnetization, μB per atom: 0.00
Uncorrected energy, eV per formula unit: -4.4

Structure (CIF):
```
data_TlCd2Hg
_chemical_formula_sum 'Tl2 Cd4 Hg2'
_symmetry_space_group_name_H-M 'I -4 m 2'
_symmetry_Int_Tables_number 119
_symmetry_space_group_name_Hall 'I -4 -2'
_cell_length_a 4.590
_cell_length_b 4.590
_cell_length_c 9.876
_cell_angle_alpha 90.00
_cell_angle_beta 90.00
_cell_angle_gamma 90.00
loop_
_atom_site_label
_atom_site_type_symbol
_atom_site_fract_x
_atom_site_fract_y
_atom_site_fract_z
Tl1 Tl 0.000 0.000 0.000
Cd1 Cd 0.000 0.000 0.500
Cd2 Cd 0.000 0.500 0.750
Hg1 Hg 0.000 0.500 0.250
```

---

[2]
Tl2Cd4Hg: optimized geometry, GGA-PBE.

Computed properties:
Crystal system: orthorhombic
Total magnetization, μB per atom: 0.00
Uncorrected energy, eV per formula unit: -8.1

Structure (CIF):
```
data_Tl2Cd4Hg
_chemical_formula_sum 'Tl8 Cd16 Hg4'
_symmetry_space_group_name_H-M 'F m m m'
_symmetry_Int_Tables_number 69
_symmetry_space_group_name_Hall '-F 2 2'
_cell_length_a 7.289
_cell_length_b 10.305
_cell_length_c 10.346
_cell_angle_alpha 90.00
_cell_angle_beta 90.00
_cell_angle_gamma 90.00
loop_
_atom_site_label
_atom_site_type_symbol
_atom_site_fract_x
_atom_site_fract_y
_atom_site_fract_z
Tl1 Tl 0.250 0.250 0.250
Cd1 Cd 0.000 0.000 0.206
Cd2 Cd 0.000 0.205 0.000
Hg1 Hg 0.000 0.000 0.500
```

---

[3]
Tl3Cd6Hg5: optimized geometry, GGA-PBE.

Computed properties:
Crystal system: orthorhombic
Total magnetization, μB per atom: 0.00
Uncorrected energy, eV per formula unit: -13.9

Structure (CIF):
```
data_Tl3Cd6Hg5
_chemical_formula_sum 'Tl6 Cd12 Hg10'
_symmetry_space_group_name_H-M 'P m m n'
_symmetry_Int_Tables_number 59
_cell_length_a 5.088
_cell_length_b 13.522
_cell_length_c 10.719
_cell_angle_alpha 90.00
_cell_angle_beta 90.00
_cell_angle_gamma 90.00
loop_
_symmetry_equiv_pos_as_xyz
'x,y,z'
'-x,-y,-z'
'-x+1/2,-y+1/2,z'
'x+1/2,y+1/2,-z'
'x+1/2,-y,-z'
'-x+1/2,y,z'
'-x,y+1/2,-z'
'x,-y+1/2,z'
loop_
_atom_site_label
_atom_site_type_symbol
_atom_site_fract_x
_atom_site_fract_y
_atom_site_fract_z
Tl1 Tl 0.250 0.024 0.244
Tl2 Tl 0.250 0.750 0.253
Cd1 Cd 0.250 0.125 0.891
Cd2 Cd 0.250 0.250 0.117
Cd3 Cd 0.250 0.250 0.409
Cd4 Cd 0.250 0.601 0.528
Hg1 Hg 0.250 0.109 0.621
Hg2 Hg 0.250 0.599 0.960
Hg3 Hg 0.250 0.750 0.736
```

---

[4]
Tl4CdHg10: optimized geometry, GGA-PBE.

Computed properties:
Crystal system: tetragonal
Total magnetization, μB per atom: 0.00
Uncorrected energy, eV per formula unit: -12.8

Structure (CIF):
```
data_Tl4CdHg10
_chemical_formula_sum 'Tl8 Cd2 Hg20'
_symmetry_space_group_name_H-M 'I 4/m'
_symmetry_Int_Tables_number 87
_symmetry_space_group_name_Hall '-I 4'
_cell_length_a 10.869
_cell_length_b 10.869
_cell_length_c 8.000
_cell_angle_alpha 90.00
_cell_angle_beta 90.00
_cell_angle_gamma 90.00
loop_
_atom_site_label
_atom_site_type_symbol
_atom_site_fract_x
_atom_site_fract_y
_atom_site_fract_z
Tl1 Tl 0.057 0.724 0.000
Cd1 Cd 0.000 0.000 0.500
Hg1 Hg 0.000 0.500 0.250
Hg2 Hg 0.121 0.197 0.295
```

---

[5]
Tl3Cd2Hg6: optimized geometry, GGA-PBE.

Computed properties:
Crystal system: trigonal
Total magnetization, μB per atom: 0.00
Uncorrected energy, eV per formula unit: -10.7

Structure (CIF):
```
data_Tl3Cd2Hg6
_chemical_formula_sum 'Tl9 Cd6 Hg18'
_symmetry_space_group_name_H-M 'R -3 m'
_symmetry_Int_Tables_number 166
_symmetry_space_group_name_Hall '-R 3 2"'
_cell_length_a 3.6261
_cell_length_b 3.6261
_cell_length_c 80.0441
_cell_angle_alpha 90.00
_cell_angle_beta 90.00
_cell_angle_gamma 120.00
loop_
_atom_site_label
_atom_site_type_symbol
_atom_site_fract_x
_atom_site_fract_y
_atom_site_fract_z
Tl1 Tl 0.0000 0.0000 0.0000
Tl2 Tl 0.0000 0.0000 0.2687
Cd1 Cd 0.0000 0.0000 0.4573
Hg1 Hg 0.0000 0.0000 0.0959
Hg2 Hg 0.0000 0.0000 0.1813
Hg3 Hg 0.0000 0.0000 0.3657
```

---

[6]
TlCdHg2: optimized geometry, GGA-PBE.

Computed properties:
Crystal system: orthorhombic
Total magnetization, μB per atom: 0.00
Uncorrected energy, eV per formula unit: -3.8

Structure (CIF):
```
data_TlCdHg2
_chemical_formula_sum 'Tl1 Cd1 Hg2'
_symmetry_space_group_name_H-M 'P m m m'
_symmetry_Int_Tables_number 47
_cell_length_a 4.294
_cell_length_b 4.904
_cell_length_c 5.150
_cell_angle_alpha 90.00
_cell_angle_beta 90.00
_cell_angle_gamma 90.00
loop_
_symmetry_equiv_pos_as_xyz
'x,y,z'
'-x,-y,-z'
'-x,-y,z'
'x,y,-z'
'x,-y,-z'
'-x,y,z'
'-x,y,-z'
'x,-y,z'
loop_
_atom_site_label
_atom_site_type_symbol
_atom_site_fract_x
_atom_site_fract_y
_atom_site_fract_z
Tl1 Tl 0.000 0.000 0.000
Cd1 Cd 0.500 0.000 0.500
Hg1 Hg 0.000 0.500 0.500
Hg2 Hg 0.500 0.500 0.000
```

---

[7]
Tl3Cd7Hg2: optimized geometry, GGA-PBE.

Computed properties:
Crystal system: trigonal
Total magnetization, μB per atom: 0.00
Uncorrected energy, eV per formula unit: -13.8

Structure (CIF):
```
data_Tl3Cd7Hg2
_chemical_formula_sum 'Tl9 Cd21 Hg6'
_symmetry_space_group_name_H-M 'R -3 m'
_symmetry_Int_Tables_number 166
_symmetry_space_group_name_Hall '-R 3 2"'
_cell_length_a 6.0907
_cell_length_b 6.0907
_cell_length_c 29.5713
_cell_angle_alpha 90.00
_cell_angle_beta 90.00
_cell_angle_gamma 120.00
loop_
_atom_site_label
_atom_site_type_symbol
_atom_site_fract_x
_atom_site_fract_y
_atom_site_fract_z
Tl1 Tl 0.0000 0.0000 0.0000
Tl2 Tl 0.0000 0.0000 0.1408
Cd1 Cd 0.0000 0.0000 0.5000
Cd2 Cd 0.0073 0.5036 0.9146
Hg1 Hg 0.0000 0.0000 0.3348
```

---

[8]
TlCd2Hg: optimized geometry, GGA-PBE.

Computed properties:
Crystal system: orthorhombic
Total magnetization, μB per atom: 0.00
Uncorrected energy, eV per formula unit: -4.4

Structure (CIF):
```
data_TlCd2Hg
_chemical_formula_sum 'Tl1 Cd2 Hg1'
_symmetry_space_group_name_H-M 'P m m m'
_symmetry_Int_Tables_number 47
_cell_length_a 4.139
_cell_length_b 5.023
_cell_length_c 5.040
_cell_angle_alpha 90.00
_cell_angle_beta 90.00
_cell_angle_gamma 90.00
loop_
_symmetry_equiv_pos_as_xyz
'x,y,z'
'-x,-y,-z'
'-x,-y,z'
'x,y,-z'
'x,-y,-z'
'-x,y,z'
'-x,y,-z'
'x,-y,z'
loop_
_atom_site_label
_atom_site_type_symbol
_atom_site_fract_x
_atom_site_fract_y
_atom_site_fract_z
Tl1 Tl 0.000 0.000 0.000
Cd1 Cd 0.000 0.500 0.500
Cd2 Cd 0.500 0.000 0.500
Hg1 Hg 0.500 0.500 0.000
```

---

[9]
Tl5CdHg6: optimized geometry, GGA-PBE.

Computed properties:
Crystal system: monoclinic
Total magnetization, μB per atom: 0.00
Uncorrected energy, eV per formula unit: -14.6

Structure (CIF):
```
data_Tl5CdHg6
_chemical_formula_sum 'Tl10 Cd2 Hg12'
_symmetry_space_group_name_H-M 'C 1 2/m 1'
_symmetry_Int_Tables_number 12
_cell_length_a 9.008
_cell_length_b 16.280
_cell_length_c 5.757
_cell_angle_alpha 90.00
_cell_angle_beta 126.02
_cell_angle_gamma 90.00
loop_
_symmetry_equiv_pos_as_xyz
'x,y,z'
'-x,-y,-z'
'-x,y,-z'
'x,-y,z'
'x+1/2,y+1/2,z'
'-x+1/2,-y+1/2,-z'
'-x+1/2,y+1/2,-z'
'x+1/2,-y+1/2,z'
loop_
_atom_site_label
_atom_site_type_symbol
_atom_site_fract_x
_atom_site_fract_y
_atom_site_fract_z
Tl1 Tl 0.000 0.000 0.000
Tl2 Tl 0.000 0.160 0.500
Tl3 Tl 0.000 0.319 0.000
Cd1 Cd 0.000 0.500 0.500
Hg1 Hg 0.226 0.500 0.229
Hg2 Hg 0.234 0.340 0.731
```

---

[10]
Tl2CdHg: optimized geometry, GGA-PBE.

Computed properties:
Crystal system: tetragonal
Total magnetization, μB per atom: 0.00
Uncorrected energy, eV per formula unit: -5.8

Structure (CIF):
```
data_Tl2CdHg
_chemical_formula_sum 'Tl4 Cd2 Hg2'
_symmetry_space_group_name_H-M 'I 4/m m m'
_symmetry_Int_Tables_number 139
_symmetry_space_group_name_Hall '-I 4 2'
_cell_length_a 4.898
_cell_length_b 4.898
_cell_length_c 9.347
_cell_angle_alpha 90.00
_cell_angle_beta 90.00
_cell_angle_gamma 90.00
loop_
_atom_site_label
_atom_site_type_symbol
_atom_site_fract_x
_atom_site_fract_y
_atom_site_fract_z
Tl1 Tl 0.000 0.500 0.250
Cd1 Cd 0.000 0.000 0.000
Hg1 Hg 0.000 0.000 0.500
```

---

[11]
TlCdHg: optimized geometry, GGA-PBE.

Computed properties:
Crystal system: triclinic
Total magnetization, μB per atom: 0.00
Uncorrected energy, eV per formula unit: -3.6

Structure (CIF):
```
data_TlCdHg
_chemical_formula_sum 'Tl2 Cd2 Hg2'
_symmetry_space_group_name_H-M 'P -1'
_symmetry_Int_Tables_number 2
_cell_length_a 4.401
_cell_length_b 4.736
_cell_length_c 8.021
_cell_angle_alpha 89.96
_cell_angle_beta 89.86
_cell_angle_gamma 90.00
loop_
_symmetry_equiv_pos_as_xyz
'x,y,z'
'-x,-y,-z'
loop_
_atom_site_label
_atom_site_type_symbol
_atom_site_fract_x
_atom_site_fract_y
_atom_site_fract_z
Tl1 Tl 0.248 0.249 0.346
Cd1 Cd 0.249 0.750 0.994
Hg1 Hg 0.252 0.251 0.740
```

---

[12]
TlCd2Hg: optimized geometry, GGA-PBE.

Computed properties:
Crystal system: tetragonal
Total magnetization, μB per atom: 0.00
Uncorrected energy, eV per formula unit: -4.4

Structure (CIF):
```
data_TlCd2Hg
_chemical_formula_sum 'Tl2 Cd4 Hg2'
_symmetry_space_group_name_H-M 'I 4/m m m'
_symmetry_Int_Tables_number 139
_symmetry_space_group_name_Hall '-I 4 2'
_cell_length_a 4.651
_cell_length_b 4.651
_cell_length_c 9.688
_cell_angle_alpha 90.00
_cell_angle_beta 90.00
_cell_angle_gamma 90.00
loop_
_atom_site_label
_atom_site_type_symbol
_atom_site_fract_x
_atom_site_fract_y
_atom_site_fract_z
Tl1 Tl 0.000 0.000 0.000
Cd1 Cd 0.000 0.500 0.250
Hg1 Hg 0.000 0.000 0.500
```